VASP calculation (GGA+U) on crystalline Co2NiO3 at its relaxed geometry.

abc: 5.592 5.592 5.771
angles: 100.53 100.53 119.52
Sites, in units of the cell vectors:
Co1 0.089 0.911 0.500
Co2 0.242 0.754 0.000
Co3 0.754 0.242 0.500
Co4 0.911 0.089 0.000
Ni1 0.425 0.577 0.499
Ni2 0.577 0.425 0.999
O1 0.043 0.200 0.370
O2 0.200 0.043 0.870
O3 0.372 0.860 0.369
O4 0.524 0.707 0.864
O5 0.707 0.524 0.364
O6 0.860 0.372 0.869

Computed properties:
Spin magnetization = 15.99 Bohr magnetons per cell
Calculated total energy = -5.548 eV/atom
Energy above the most stable polymorph in this dataset = 53 meV per atom